1.
A relaxed structure of ZnGa2Ni2. Source: Alexandria, functional PBE-GGA.

Lattice parameters (Å, degrees): 3.638 3.638 6.204 72.95 72.95 90.00
Element x y z (fractional)
Ni: 0.750 0.250 0.500
Ni: 0.250 0.750 0.500
Zn: 0.000 0.000 0.000
Ga: 0.389 0.389 0.222
Ga: 0.611 0.611 0.778

Results
E = -3.7928 eV/atom
Magnetic moment = 0.00 μB/cell
Calculated density = 7.2 g/cm3
Space-group type = I4/mmm, No. 139

***

2.
A relaxed structure of Zn5GaNi6. Source: Alexandria, functional PBE-GGA.

Lattice parameters (Å, degrees): 4.285 5.409 6.347 90.00 82.20 90.00
Element x y z (fractional)
Ni: 0.839 0.751 0.331
Ni: 0.839 0.249 0.331
Ni: 0.500 0.247 0.000
Ni: 0.500 0.753 0.000
Ni: 0.161 0.751 0.669
Ni: 0.161 0.249 0.669
Zn: 0.663 0.500 0.666
Zn: 0.336 0.000 0.338
Zn: 0.000 0.500 0.000
Zn: 0.664 0.000 0.662
Zn: 0.337 0.500 0.334
Ga: 0.000 0.000 0.000

Results
E = -3.9528 eV/atom
Magnetic moment = 0.00 μB/cell
Calculated density = 8.5 g/cm3
Space-group type = P2/m, No. 10

***

3.
A relaxed structure of ZnGa2Ni. Source: Alexandria, functional PBE-GGA.

Lattice parameters (Å, degrees): 4.693 7.469 13.711 90.00 90.00 90.00
Element x y z (fractional)
Zn: 0.449 0.250 0.134
Zn: 0.949 0.750 0.366
Zn: 0.551 0.750 0.866
Zn: 0.051 0.250 0.634
Zn: 0.764 0.250 0.384
Zn: 0.264 0.750 0.116
Zn: 0.236 0.750 0.616
Zn: 0.736 0.250 0.884
Ga: 0.962 0.054 0.209
Ga: 0.462 0.946 0.291
Ga: 0.038 0.554 0.791
Ga: 0.538 0.446 0.709
Ga: 0.038 0.946 0.791
Ga: 0.538 0.054 0.709
Ga: 0.962 0.446 0.209
Ga: 0.462 0.554 0.291
Ga: 0.745 0.557 0.036
Ga: 0.245 0.443 0.464
Ga: 0.255 0.057 0.964
Ga: 0.755 0.943 0.536
Ga: 0.255 0.443 0.964
Ga: 0.755 0.557 0.536
Ga: 0.745 0.943 0.036
Ga: 0.245 0.057 0.464
Ni: 0.259 0.250 0.312
Ni: 0.759 0.750 0.188
Ni: 0.741 0.750 0.688
Ni: 0.241 0.250 0.812
Ni: 0.943 0.250 0.065
Ni: 0.443 0.750 0.435
Ni: 0.057 0.750 0.935
Ni: 0.557 0.250 0.565

Results
E = -3.4784 eV/atom
Magnetic moment = 0.00 μB/cell
Calculated density = 7.3 g/cm3
Space-group type = Pnma, No. 62

***

4.
A relaxed structure of ZnGa2Ni8. Source: Alexandria, functional PBE-GGA.

Lattice parameters (Å, degrees): 3.610 6.911 6.625 121.44 105.81 90.00
Site moments in Bohr magnetons follow the coordinates.
Element x y z (fractional)
Zn: 0.500 0.000 0.000  -0.01
Ga: 0.166 0.666 0.332  -0.01
Ga: 0.834 0.334 0.668  -0.01
Ni: 0.665 0.911 0.330  0.12
Ni: 0.335 0.580 0.670  0.12
Ni: 0.165 0.165 0.330  0.21
Ni: 0.000 0.258 0.000  0.15
Ni: 0.835 0.835 0.670  0.21
Ni: 0.665 0.420 0.330  0.12
Ni: 0.335 0.089 0.670  0.12
Ni: 0.000 0.742 0.000  0.15

Results
E = -5.0220 eV/atom
Magnetic moment = 1.13 μB/cell
Calculated density = 8.4 g/cm3
Space-group type = Immm, No. 71

***

5.
A relaxed structure of ZnGaNi2. Source: Alexandria, functional PBE-GGA.

Lattice parameters (Å, degrees): 4.124 4.124 4.126 60.01 60.01 60.00
Element x y z (fractional)
Zn: 0.500 0.500 0.500
Ga: 0.750 0.750 0.750
Ni: 0.000 0.000 0.001
Ni: 0.250 0.250 0.249

Results
E = -4.1337 eV/atom
Magnetic moment = 0.00 μB/cell
Calculated density = 8.4 g/cm3
Space-group type = F-43m, No. 216

***

6.
A relaxed structure of Zn2GaNi. Source: Alexandria, functional PBE-GGA.

Lattice parameters (Å, degrees): 7.363 7.363 5.731 50.03 50.03 90.00
Element x y z (fractional)
Ni: 0.500 0.500 0.000
Ni: 0.250 0.750 0.500
Zn: 0.571 0.125 0.250
Zn: 0.179 0.625 0.250
Zn: 0.375 0.429 0.750
Zn: 0.875 0.821 0.750
Ga: 0.000 0.000 0.000
Ga: 0.750 0.250 0.500

Results
E = -2.7549 eV/atom
Magnetic moment = 0.00 μB/cell
Calculated density = 6.6 g/cm3
Space-group type = I-42d, No. 122

***

7.
A relaxed structure of Zn2Ga2Ni. Source: Alexandria, functional PBE-GGA.

Lattice parameters (Å, degrees): 6.336 6.336 3.946 90.00 90.00 90.00
Element x y z (fractional)
Ni: 0.000 0.000 0.000
Ni: 0.500 0.500 0.000
Zn: 0.159 0.659 0.500
Zn: 0.659 0.841 0.500
Zn: 0.841 0.341 0.500
Zn: 0.341 0.159 0.500
Ga: 0.350 0.850 0.000
Ga: 0.850 0.650 0.000
Ga: 0.650 0.150 0.000
Ga: 0.150 0.350 0.000

Results
E = -2.8146 eV/atom
Magnetic moment = 0.00 μB/cell
Calculated density = 6.9 g/cm3
Space-group type = P4/mbm, No. 127

***

8.
A relaxed structure of Zn3GaNi3. Source: Alexandria, functional PBE-GGA.

Lattice parameters (Å, degrees): 4.958 5.009 4.958 109.68 109.26 109.68
Element x y z (fractional)
Zn: 0.500 0.004 0.000
Zn: 0.500 0.504 0.500
Zn: 0.000 0.004 0.500
Ga: 0.000 0.503 0.000
Ni: 0.500 0.504 0.000
Ni: 0.500 0.004 0.500
Ni: 0.000 0.504 0.500

Results
E = -3.6979 eV/atom
Magnetic moment = 0.00 μB/cell
Calculated density = 7.8 g/cm3
Space-group type = R-3m, No. 166